Record 1
KYPaS4 | the Alexandria database | PBE | optimized geometry; calculated total energy = -6.51 eV per atom; size of the total moment = 0.146 μB/atom; V = 419 Å³ per cell
1.0
-4.185 4.224 5.923
4.185 -4.224 5.923
4.185 4.224 -5.923
K Y Pa S
2 2 2 8
Cartesian
0.000 2.112 1.526
4.185 2.112 4.397
2.093 2.112 -2.962
2.093 -2.112 2.962
4.185 0.000 0.000
0.000 0.000 5.923
4.185 -0.310 2.706
2.424 2.112 -0.193
5.946 2.112 -0.193
4.185 3.914 -2.706
0.000 0.310 8.629
-1.761 2.112 6.117
1.761 2.112 6.117
0.000 4.535 3.217

---

Record 2
NpPaSi | the Alexandria database | PBE | optimized geometry; calculated total energy = -9.28 eV per atom; size of the total moment = 1.467 μB/atom; offset from the most stable computed form = 0.785 kcal/mol of atoms; V = 60 Å³ per cell
1.0
4.721 0.000 0.000
-2.360 4.088 0.000
0.000 0.000 3.130
Np Pa Si
1 1 1
Cartesian
0.000 0.000 0.000
0.000 2.726 0.936
2.360 1.363 2.186

---

We obtain E_form (uncorrected) values of -1.711 0.005 eV/atom for the records listed above, in that order.